Below is Ce4AsRh after structural relaxation, with properties calculated at the PBE level.

- electronic total energy (eV/atom) = -6.458
- formation energy (meV per atom) = -502

```
Ce4AsRh
1.0
3.912 -6.776 0.000
3.912 6.776 0.000
-3.312 0.000 5.860
Ce As Rh
8 2 2
Direct
0.030 0.571 0.830
0.214 0.349 0.735
0.349 0.214 0.235
0.429 0.970 0.670
0.571 0.030 0.330
0.651 0.786 0.765
0.786 0.651 0.265
0.970 0.429 0.170
0.066 0.934 0.750
0.934 0.066 0.250
0.404 0.596 0.250
0.596 0.404 0.750
```